1.
# Al2BiIrI

A PBEsol-optimized structure of Al2BiIrI (SCAN, the Alexandria database).

Lattice parameters (Å, degrees): 5.052 5.052 5.736 90.00 90.00 90.00
Sites, in units of the cell vectors:
Al 0.000 0.500 0.000
Al 0.500 0.000 0.000
Bi 0.000 0.000 0.500
Ir 0.500 0.500 0.500
I 0.000 0.000 0.000

Output
- raw formation energy (eV/atom) = 2.090
- calculated volume (Å³/f.u.) = 146.4
- SG = P4/mmm, No. 123
- E (eV/atom) = -38.30

=====

2.
# AlBiIN2

A PBEsol-optimized structure of AlBiIN2 (SCAN, the Alexandria database).

Lattice parameters (Å, degrees): 4.364 4.364 6.518 90.00 90.00 90.00
Sites, in units of the cell vectors:
Al 0.000 0.000 0.000
Bi 0.500 0.500 0.500
I 0.500 0.500 0.000
N 0.000 0.500 0.500
N 0.500 0.000 0.500

Output
- raw formation energy (eV/atom) = 1.553
- calculated volume (Å³/f.u.) = 124.2
- SG = P4/mmm, No. 123
- E (eV/atom) = -26.78

=====

3.
# Al2InBi2

A PBEsol-optimized structure of Al2InBi2 (SCAN, the Alexandria database).

Lattice parameters (Å, degrees): 8.119 8.119 8.119 149.78 149.78 43.27
Sites, in units of the cell vectors:
Al 0.250 0.750 0.500
Al 0.750 0.250 0.500
In 0.000 0.000 0.000
Bi 0.382 0.382 0.000
Bi 0.618 0.618 0.000

Output
- calculated volume (Å³/f.u.) = 135.3
- SG = I4/mmm, No. 139
- E (eV/atom) = -41.03
- formation energy from the elements (meV per atom) = 183.3